VASP calculation (PBE+U) on an optimized crystal structure of VGaCu2F.

Calculated values
E_tot   -3.84 eV/atom
Calculated volume   15.4 Å³ per atom
Total moment   2.98 μB/f.u.

Structure (CIF):
```
data_VGaCu2F
_symmetry_space_group_name_H-M 'P 4/m m m'
_symmetry_Int_Tables_number 123
_symmetry_space_group_name_Hall '-P 4 2'
_cell_length_a 4.142
_cell_length_b 4.142
_cell_length_c 4.480
_cell_angle_alpha 90.00
_cell_angle_beta 90.00
_cell_angle_gamma 90.00
loop_
_atom_site_label
_atom_site_fract_x
_atom_site_fract_y
_atom_site_fract_z
V1 0.000 0.000 0.000
Ga1 0.500 0.500 0.000
Cu1 0.000 0.500 0.500
F1 0.500 0.500 0.500
```